The following is a PBE with a Hubbard U calculation of a geometry-optimized PaVP2O8 structure, from the Alexandria database.

Results
- Theoretical density: 4.97 g cm⁻³
- Raw total energy: -8.0852 eV/atom
- V: 13.1 Å³/atom

Cell lengths 5.1696, 5.1696, 6.8176 Å; angles 90.00, 90.00, 120.00 degrees
Element x y z (fractional)
Pa (0.0000, 0.0000, 0.0000)
V (0.0000, 0.0000, 0.5000)
P (0.3333, 0.6667, 0.2091)
P (0.6667, 0.3333, 0.7909)
O (0.1691, 0.3381, 0.2790)
O (0.1691, 0.8309, 0.2790)
O (0.3333, 0.6667, 0.9831)
O (0.3381, 0.1691, 0.7210)
O (0.6619, 0.8309, 0.2790)
O (0.6667, 0.3333, 0.0169)
O (0.8309, 0.1691, 0.7210)
O (0.8309, 0.6619, 0.7210)